[1]
Zr2Al2O: optimized geometry, PBE.

## Properties
Its volume is 20.90 Å³/atom. The energy above the lowest structure with this stoichiometry comes out at 945 meV/atom. For the energy relative to the elements, uncorrected, the calculation gives 58.9 kJ/mol of atoms.

abc: 3.740 3.740 14.943
angles: 90.00 90.00 90.00
Space group I4/mmm (No. 139)
Asymmetric unit:
Zr 0.000 0.500 0.250 [4 per cell]
Al 0.000 0.000 0.082 [4 per cell]
O 0.000 0.000 0.500 [2 per cell]

[2]
ZrAlO3: optimized geometry, PBE.

## Properties
Its volume is 9.65 Å³/atom. For the energy relative to the elements, uncorrected, the calculation gives -243.5 kJ/mol of atoms.

abc: 3.640 3.640 3.640
angles: 90.00 90.00 90.00
Space group Pm-3m (No. 221)
Asymmetric unit:
Zr 0.000 0.000 0.000 [1 per cell]
Al 0.500 0.500 0.500 [1 per cell]
O 0.000 0.500 0.500 [3 per cell]

[3]
ZrAlO2: optimized geometry, PBE.

## Properties
Its volume is 13.22 Å³/atom. For the energy relative to the elements, uncorrected, the calculation gives -185.1 kJ/mol of atoms.

abc: 4.823 4.823 9.095
angles: 90.00 90.00 90.00
Space group I-42d (No. 122)
Asymmetric unit:
Zr 0.000 0.000 0.000 [4 per cell]
Al 0.000 0.000 0.500 [4 per cell]
O 0.164 0.250 0.625 [8 per cell]

[4]
Zr2AlO: optimized geometry, PBE.

## Properties
Its volume is 16.38 Å³/atom. The energy above the lowest structure with this stoichiometry comes out at 0 meV/atom. For the energy relative to the elements, uncorrected, the calculation gives -128.0 kJ/mol of atoms.

abc: 3.1433 3.1433 22.9691
angles: 90.00 90.00 120.00
Space group R-3m (No. 166, hexagonal axes)
Asymmetric unit:
Zr 0.0000 0.0000 0.2303 [6 per cell]
Al 0.0000 0.0000 0.0000 [3 per cell]
O 0.0000 0.0000 0.5000 [3 per cell]

[5]
Zr2AlO: optimized geometry, PBE.

## Properties
Its volume is 18.59 Å³/atom. The energy above the lowest structure with this stoichiometry comes out at 167 meV/atom. For the energy relative to the elements, uncorrected, the calculation gives -111.9 kJ/mol of atoms.

abc: 6.552 6.552 6.930
angles: 90.00 90.00 90.00
Space group I-42d (No. 122)
Asymmetric unit:
Zr 0.155 0.250 0.125 [8 per cell]
Al 0.000 0.000 0.500 [4 per cell]
O 0.000 0.000 0.000 [4 per cell]

[6]
Zr2AlO: optimized geometry, PBE.

## Properties
Its volume is 17.25 Å³/atom. The energy above the lowest structure with this stoichiometry comes out at 1032 meV/atom. For the energy relative to the elements, uncorrected, the calculation gives -28.4 kJ/mol of atoms.

abc: 6.511 6.511 6.511
angles: 90.00 90.00 90.00
Space group Fm-3m (No. 225)
Asymmetric unit:
Zr 0.250 0.250 0.250 [8 per cell]
Al 0.000 0.000 0.000 [4 per cell]
O 0.000 0.000 0.500 [4 per cell]

[7]
Zr2Al2O: optimized geometry, PBE.

## Properties
Its volume is 17.29 Å³/atom. The energy above the lowest structure with this stoichiometry comes out at 0 meV/atom. For the energy relative to the elements, uncorrected, the calculation gives -32.3 kJ/mol of atoms.

abc: 5.873 5.873 5.013
angles: 90.00 90.00 90.00
Space group P4/mbm (No. 127)
Asymmetric unit:
Zr 0.164 0.336 0.000 [4 per cell]
Al 0.162 0.662 0.500 [4 per cell]
O 0.000 0.000 0.500 [2 per cell]

[8]
ZrAl3O: optimized geometry, PBE.

## Properties
Its volume is 30.43 Å³/atom. The energy above the lowest structure with this stoichiometry comes out at 2171 meV/atom. For the energy relative to the elements, uncorrected, the calculation gives 140.1 kJ/mol of atoms.

abc: 5.338 5.338 5.338
angles: 90.00 90.00 90.00
Space group Pm-3m (No. 221)
Asymmetric unit:
Zr 0.000 0.000 0.000 [1 per cell]
Al 0.000 0.000 0.500 [3 per cell]
O 0.500 0.500 0.500 [1 per cell]

[9]
Zr6AlO: optimized geometry, PBE.

## Properties
Its volume is 20.02 Å³/atom. For the energy relative to the elements, uncorrected, the calculation gives -72.3 kJ/mol of atoms.

abc: 8.4917 8.4917 7.6936
angles: 90.00 90.00 120.00
Space group R-3 (No. 148, hexagonal axes)
Asymmetric unit:
Zr 0.0708 0.2522 0.1634 [18 per cell]
Al 0.0000 0.0000 0.5000 [3 per cell]
O 0.0000 0.0000 0.0000 [3 per cell]

[10]
ZrAlO3: optimized geometry, PBE.

## Properties
Its volume is 13.88 Å³/atom. For the energy relative to the elements, uncorrected, the calculation gives -185.3 kJ/mol of atoms.

abc: 4.109 4.109 4.109
angles: 90.00 90.00 90.00
Space group Pm-3m (No. 221)
Asymmetric unit:
Zr 0.000 0.000 0.000 [1 per cell]
Al 0.500 0.500 0.500 [1 per cell]
O 0.000 0.000 0.500 [3 per cell]

[11]
Zr3AlO: optimized geometry, PBE.

## Properties
Its volume is 17.75 Å³/atom. For the energy relative to the elements, uncorrected, the calculation gives -109.1 kJ/mol of atoms.

abc: 6.351 3.206 9.223
angles: 90.00 109.00 90.00
Space group P2_1/m (No. 11)
Asymmetric unit:
Zr 0.056 0.250 0.358 [2 per cell]
Zr 0.194 0.750 0.106 [2 per cell]
Zr 0.432 0.750 0.646 [2 per cell]
Al 0.298 0.250 0.868 [2 per cell]
O 0.326 0.750 0.382 [2 per cell]

[12]
Zr3Al5O12: optimized geometry, PBE.

## Properties
Its volume is 10.57 Å³/atom. For the energy relative to the elements, uncorrected, the calculation gives -280.6 kJ/mol of atoms.

abc: 11.915 11.915 11.915
angles: 90.00 90.00 90.00
Space group Ia-3d (No. 230)
Asymmetric unit:
Zr 0.000 0.250 0.125 [24 per cell]
Al 0.000 0.000 0.000 [16 per cell]
Al 0.000 0.250 0.375 [24 per cell]
O 0.031 0.053 0.649 [96 per cell]

The highest energy relative to the elements, uncorrected belongs to which entry? ZrAl3O

Look up the energy relative to the elements, uncorrected of the seventh one. -32.3 kJ/mol of atoms